# 1
## K8Rb3In2 (PBE-GGA)

Data for K8Rb3In2 after structural relaxation.

```
data_K8Rb3In2
_cell_length_a 9.495
_cell_length_b 6.662
_cell_length_c 13.328
_cell_angle_alpha 90.00
_cell_angle_beta 101.26
_cell_angle_gamma 90.00
_space_group_name_H-M_alt 'P 1 2/m 1'
_space_group_IT_number 10
loop_
_space_group_symop_operation_xyz
'x,y,z'
'-x,-y,-z'
'-x,y,-z'
'x,-y,z'
loop_
_atom_site_label
_atom_site_fract_x
_atom_site_fract_y
_atom_site_fract_z
K1 0.032 0.000 0.285
K2 0.166 0.500 0.915
K3 0.299 0.500 0.219
K4 0.447 0.000 0.851
Rb1 0.226 0.500 0.578
Rb2 0.500 0.000 0.500
In1 0.154 0.000 0.037
```

Results
Its density of states at the Fermi level is 9.52 states/eV/f.u. The value obtained for the formation energy is 2 meV per atom.

***

# 2
## Hf2PaAg (PBE-GGA)

Data for Hf2PaAg after structural relaxation.

```
data_Hf2PaAg
_cell_length_a 3.1506
_cell_length_b 3.1506
_cell_length_c 30.6884
_cell_angle_alpha 90.00
_cell_angle_beta 90.00
_cell_angle_gamma 120.00
_space_group_name_H-M_alt 'R 3 m'
_space_group_IT_number 160
_space_group_name_Hall 'R 3 -2"'
loop_
_atom_site_label
_atom_site_fract_x
_atom_site_fract_y
_atom_site_fract_z
Hf1 0.0000 0.0000 0.0000
Hf2 0.0000 0.0000 0.1743
Pa1 0.0000 0.0000 0.4201
Ag1 0.0000 0.0000 0.5876
```

Results
Its density of states at the Fermi level is 6.10 states/eV/f.u. The value obtained for the energy above the most stable polymorph in this dataset is 34.9 meV/atom. The value obtained for the formation energy is 74 meV per atom.

***

# 3
## Sc2InCuSe4 (PBE-GGA)

Data for Sc2InCuSe4 after structural relaxation.

```
data_Sc2InCuSe4
_cell_length_a 3.917
_cell_length_b 13.606
_cell_length_c 13.913
_cell_angle_alpha 90.00
_cell_angle_beta 90.00
_cell_angle_gamma 90.00
_space_group_name_H-M_alt 'C m c m'
_space_group_IT_number 63
_space_group_name_Hall '-C 2c 2'
loop_
_atom_site_label
_atom_site_fract_x
_atom_site_fract_y
_atom_site_fract_z
Sc1 0.000 0.130 0.068
In1 0.000 0.380 0.250
Cu1 0.000 0.337 0.750
Se1 0.000 0.058 0.250
Se2 0.000 0.238 0.605
Se3 0.000 0.500 0.000
```

Results
Its density of states at the Fermi level is 0.10 states/eV/f.u. The uncorrected formation energy comes out at -26.00 kcal/mol of atoms.

***

# 4
## ErVFe4 (PBE-GGA)

Data for ErVFe4 after structural relaxation.

```
data_ErVFe4
_cell_length_a 6.973
_cell_length_b 6.973
_cell_length_c 6.973
_cell_angle_alpha 90.00
_cell_angle_beta 90.00
_cell_angle_gamma 90.00
_space_group_name_H-M_alt 'F -4 3 m'
_space_group_IT_number 216
_space_group_name_Hall 'F -4 2 3'
loop_
_atom_site_label
_atom_site_fract_x
_atom_site_fract_y
_atom_site_fract_z
Er1 0.000 0.000 0.000
V1 0.250 0.250 0.750
Fe1 0.124 0.124 0.376
```

Results
Its density of states at the Fermi level is 4.24 states/eV/f.u. The value obtained for the formation energy is -48 meV per atom.